No. 1
The following is a PBE-GGA calculation of a relaxed structure of SiTeRh2, from the Alexandria database.

space-group type	P4/mmm
formation energy (no corrections)	-33.49	kJ/mol of atoms
energy above the lowest structure with this stoichiometry	67	meV/atom

Unit cell a=2.9843 b=2.9843 c=7.2717 alpha=90.00 beta=90.00 gamma=90.00
Closest atoms and distances in Å follow each position.
Fractional positions:
Si: 0.0000 0.0000 0.0000  8 Rh 2.52
Te: 0.0000 0.0000 0.5000  4 Te 2.98, 8 Rh 3.09
Rh: 0.5000 0.5000 0.1900  4 Si 2.52, 1 Rh 2.76
Rh: 0.5000 0.5000 0.8100  4 Si 2.52, 1 Rh 2.76

---

No. 2
The following is a PBE-GGA calculation of a relaxed structure of LiDy2ZrS5, from the Alexandria database.

space-group type	Cmc2_1
formation energy (no corrections)	-167.80	kJ/mol of atoms

Unit cell a=8.2395 b=8.2395 c=11.5888 alpha=90.00 beta=90.00 gamma=153.37
Closest atoms and distances in Å follow each position.
Fractional positions:
Li: 0.0122 0.9878 0.5000  4 S 2.27-2.47
Li: 0.9878 0.0122 0.0000  4 S 2.27-2.47
Dy: 0.3695 0.6305 0.3219  8 S 2.79-3.05
Dy: 0.3906 0.6094 0.7182  8 S 2.81-2.96
Dy: 0.6094 0.3906 0.2182  8 S 2.81-2.96
Dy: 0.6305 0.3695 0.8219  8 S 2.79-3.05
Zr: 0.3051 0.6949 0.0322  6 S 2.44-2.66
Zr: 0.6949 0.3051 0.5322  6 S 2.44-2.66
S: 0.0035 0.9965 0.8049  1 Li 2.27
S: 0.1406 0.8594 0.0270  1 Li 2.47, 1 Zr 2.64
S: 0.1911 0.8089 0.3748  2 Zr 2.63, 3 Dy 2.93
S: 0.2163 0.7837 0.6900  2 Zr 2.66, 3 Dy 2.80-2.81
S: 0.4504 0.5496 0.0936  2 Li 2.27, 1 Zr 2.44
S: 0.5496 0.4504 0.5936  2 Li 2.27, 1 Zr 2.44
S: 0.7837 0.2163 0.1900  2 Zr 2.66, 3 Dy 2.80-2.81
S: 0.8089 0.1911 0.8748  2 Zr 2.63, 3 Dy 2.93
S: 0.8594 0.1406 0.5270  1 Li 2.47, 1 Zr 2.64
S: 0.9965 0.0035 0.3049  1 Li 2.27

---

No. 3
The following is a PBE-GGA calculation of a relaxed structure of MgAsPt2, from the Alexandria database.

space-group type	P2/m
calculated total energy	-5.0382	eV/atom

Unit cell a=3.0648 b=3.6759 c=5.7745 alpha=90.00 beta=90.18 gamma=90.00
Closest atoms and distances in Å follow each position.
Fractional positions:
Mg: 0.0000 0.0000 0.0000  8 Pt 2.79-2.80, 2 As 2.89, 2 Mg 3.06
As: 0.0000 0.0000 0.5000  8 Pt 2.79-2.80, 2 Mg 2.89, 2 As 3.06
Pt: 0.4992 0.5000 0.2500  4 Mg 2.79-2.80, 4 As 2.79-2.80, 4 Pt 2.89-3.06
Pt: 0.5008 0.5000 0.7500  4 Mg 2.79-2.80, 4 As 2.79-2.80, 4 Pt 2.89-3.06